# 1
## Y2PdCl2 (PBE)

Data for a geometry-optimized Y2PdCl2 structure.

ρ in g/cm3: 5.64
ΔE_f (raw) in eV/atom: -0.9785

Cell lengths 8.026, 8.026, 3.244 Å; angles 90.00, 90.00, 90.00 degrees
Space group P4/mbm (No. 127)
Asymmetric unit:
1 Y 0.178 0.322 0.000 (multiplicity 4)
2 Pd 0.000 0.000 0.500 (multiplicity 2)
3 Cl 0.125 0.625 0.500 (multiplicity 4)

=====

# 2
## Y2PdCl (PBE)

Data for a geometry-optimized Y2PdCl structure.

ρ in g/cm3: 4.27
ΔE_f (raw) in eV/atom: -0.6881

Cell lengths 6.168, 6.168, 13.086 Å; angles 90.00, 90.00, 90.00 degrees
Space group I-42d (No. 122)
Asymmetric unit:
1 Y 0.242 0.250 0.125 (multiplicity 8)
2 Pd 0.000 0.000 0.000 (multiplicity 4)
3 Cl 0.000 0.000 0.500 (multiplicity 4)

=====

# 3
## YPdCl2 (PBE)

Data for a geometry-optimized YPdCl2 structure.

ρ in g/cm3: 4.87
ΔE_f (raw) in eV/atom: -0.9774

Cell lengths 3.5204, 3.5204, 25.3501 Å; angles 90.00, 90.00, 120.00 degrees
Space group R-3m (No. 166, hexagonal axes)
Asymmetric unit:
1 Y 0.0000 0.0000 0.0000 (multiplicity 3)
2 Pd 0.0000 0.0000 0.5000 (multiplicity 3)
3 Cl 0.0000 0.0000 0.4062 (multiplicity 6)